# 1
The following is a PBE calculation of a geometry-optimized Eu2ScIn structure, from Alexandria via LeMat-Bulk.

The structure in CIF format:
```
data_Eu2ScIn
_chemical_formula_sum 'Eu6 Sc3 In3'
_cell_length_a 3.4906
_cell_length_b 3.4906
_cell_length_c 35.7310
_cell_angle_alpha 90.00
_cell_angle_beta 90.00
_cell_angle_gamma 120.00
_symmetry_space_group_name_H-M 'R -3 m'
_symmetry_Int_Tables_number 166
_symmetry_space_group_name_Hall '-R 3 2"'
loop_
_atom_site_label
_atom_site_type_symbol
_atom_site_fract_x
_atom_site_fract_y
_atom_site_fract_z
Eu1 Eu 0.0000 0.0000 0.0899
Sc1 Sc 0.0000 0.0000 0.0000
In1 In 0.0000 0.0000 0.5000
```

Magnetic moment ... 14.95 μB per formula unit
ΔE_f ... 0.579 eV per formula unit
Final energy ... -87.120 eV/cell
Energy above the lowest structure with this stoichiometry ... 6.75 kcal/mol of atoms



# 2
The following is a PBE calculation of a geometry-optimized EuScIn2 structure, from Alexandria via LeMat-Bulk.

The structure in CIF format:
```
data_EuScIn2
_chemical_formula_sum 'Eu1 Sc1 In2'
_cell_length_a 3.7216
_cell_length_b 3.7216
_cell_length_c 7.5920
_cell_angle_alpha 90.00
_cell_angle_beta 90.00
_cell_angle_gamma 90.00
_symmetry_space_group_name_H-M 'P 4/m m m'
_symmetry_Int_Tables_number 123
_symmetry_space_group_name_Hall '-P 4 2'
loop_
_atom_site_label
_atom_site_type_symbol
_atom_site_fract_x
_atom_site_fract_y
_atom_site_fract_z
Eu1 Eu 0.0000 0.0000 0.0000
Sc1 Sc 0.0000 0.0000 0.5000
In1 In 0.5000 0.5000 0.2834
```

Magnetic moment ... 7.25 μB per formula unit
ΔE_f ... -1.782 eV per formula unit
Final energy ... -23.865 eV/cell
Energy above the lowest structure with this stoichiometry ... 0.00 kcal/mol of atoms



# 3
The following is a PBE calculation of a geometry-optimized Eu2ScIn structure, from Alexandria via LeMat-Bulk.

The structure in CIF format:
```
data_Eu2ScIn
_chemical_formula_sum 'Eu2 Sc1 In1'
_cell_length_a 4.1025
_cell_length_b 4.1025
_cell_length_c 7.3064
_cell_angle_alpha 90.00
_cell_angle_beta 90.00
_cell_angle_gamma 90.00
_symmetry_space_group_name_H-M 'P 4/m m m'
_symmetry_Int_Tables_number 123
_symmetry_space_group_name_Hall '-P 4 2'
loop_
_atom_site_label
_atom_site_type_symbol
_atom_site_fract_x
_atom_site_fract_y
_atom_site_fract_z
Eu1 Eu 0.0000 0.0000 0.2438
Sc1 Sc 0.5000 0.5000 0.5000
In1 In 0.5000 0.5000 0.0000
```

Magnetic moment ... 14.49 μB per formula unit
ΔE_f ... -0.386 eV per formula unit
Final energy ... -30.005 eV/cell
Energy above the lowest structure with this stoichiometry ... 1.19 kcal/mol of atoms



# 4
The following is a PBE calculation of a geometry-optimized SmEuScIn structure, from Alexandria via LeMat-Bulk.

The structure in CIF format:
```
data_SmEuScIn
_chemical_formula_sum 'Sm4 Eu4 Sc4 In4'
_cell_length_a 7.6662
_cell_length_b 7.6662
_cell_length_c 7.6662
_cell_angle_alpha 90.00
_cell_angle_beta 90.00
_cell_angle_gamma 90.00
_symmetry_space_group_name_H-M 'F -4 3 m'
_symmetry_Int_Tables_number 216
_symmetry_space_group_name_Hall 'F -4 2 3'
loop_
_atom_site_label
_atom_site_type_symbol
_atom_site_fract_x
_atom_site_fract_y
_atom_site_fract_z
Sm1 Sm 0.0000 0.0000 0.0000
Eu1 Eu 0.2500 0.2500 0.7500
Sc1 Sc 0.0000 0.0000 0.5000
In1 In 0.2500 0.2500 0.2500
```

Magnetic moment ... 8.10 μB per formula unit
ΔE_f ... -0.414 eV per formula unit
Final energy ... -97.911 eV/cell



# 5
The following is a PBE calculation of a geometry-optimized TbEuScIn structure, from Alexandria via LeMat-Bulk.

The structure in CIF format:
```
data_TbEuScIn
_chemical_formula_sum 'Tb4 Eu4 Sc4 In4'
_cell_length_a 7.6171
_cell_length_b 7.6171
_cell_length_c 7.6171
_cell_angle_alpha 90.00
_cell_angle_beta 90.00
_cell_angle_gamma 90.00
_symmetry_space_group_name_H-M 'F -4 3 m'
_symmetry_Int_Tables_number 216
_symmetry_space_group_name_Hall 'F -4 2 3'
loop_
_atom_site_label
_atom_site_type_symbol
_atom_site_fract_x
_atom_site_fract_y
_atom_site_fract_z
Tb1 Tb 0.0000 0.0000 0.0000
Eu1 Eu 0.2500 0.2500 0.7500
Sc1 Sc 0.0000 0.0000 0.5000
In1 In 0.2500 0.2500 0.2500
```

Magnetic moment ... 7.88 μB per formula unit
ΔE_f ... -0.377 eV per formula unit
Final energy ... -97.405 eV/cell



# 6
The following is a PBE calculation of a geometry-optimized EuScTlIn structure, from Alexandria via LeMat-Bulk.

The structure in CIF format:
```
data_EuScTlIn
_chemical_formula_sum 'Eu4 Sc4 Tl4 In4'
_cell_length_a 7.5376
_cell_length_b 7.5376
_cell_length_c 7.5376
_cell_angle_alpha 90.00
_cell_angle_beta 90.00
_cell_angle_gamma 90.00
_symmetry_space_group_name_H-M 'F -4 3 m'
_symmetry_Int_Tables_number 216
_symmetry_space_group_name_Hall 'F -4 2 3'
loop_
_atom_site_label
_atom_site_type_symbol
_atom_site_fract_x
_atom_site_fract_y
_atom_site_fract_z
Eu1 Eu 0.0000 0.0000 0.0000
Sc1 Sc 0.0000 0.0000 0.5000
Tl1 Tl 0.2500 0.2500 0.2500
In1 In 0.2500 0.2500 0.7500
```

Magnetic moment ... 7.21 μB per formula unit
ΔE_f ... -1.360 eV per formula unit
Final energy ... -92.281 eV/cell



# 7
The following is a PBE calculation of a geometry-optimized EuTmScIn structure, from Alexandria via LeMat-Bulk.

The structure in CIF format:
```
data_EuTmScIn
_chemical_formula_sum 'Eu4 Tm4 Sc4 In4'
_cell_length_a 7.5694
_cell_length_b 7.5694
_cell_length_c 7.5694
_cell_angle_alpha 90.00
_cell_angle_beta 90.00
_cell_angle_gamma 90.00
_symmetry_space_group_name_H-M 'F -4 3 m'
_symmetry_Int_Tables_number 216
_symmetry_space_group_name_Hall 'F -4 2 3'
loop_
_atom_site_label
_atom_site_type_symbol
_atom_site_fract_x
_atom_site_fract_y
_atom_site_fract_z
Eu1 Eu 0.0000 0.0000 0.0000
Tm1 Tm 0.2500 0.2500 0.2500
Sc1 Sc 0.2500 0.2500 0.7500
In1 In 0.0000 0.0000 0.5000
```

Magnetic moment ... 7.78 μB per formula unit
ΔE_f ... -0.303 eV per formula unit
Final energy ... -96.478 eV/cell



# 8
The following is a PBE calculation of a geometry-optimized EuYScIn structure, from Alexandria via LeMat-Bulk.

The structure in CIF format:
```
data_EuYScIn
_chemical_formula_sum 'Eu4 Y4 Sc4 In4'
_cell_length_a 7.6187
_cell_length_b 7.6187
_cell_length_c 7.6187
_cell_angle_alpha 90.00
_cell_angle_beta 90.00
_cell_angle_gamma 90.00
_symmetry_space_group_name_H-M 'F -4 3 m'
_symmetry_Int_Tables_number 216
_symmetry_space_group_name_Hall 'F -4 2 3'
loop_
_atom_site_label
_atom_site_type_symbol
_atom_site_fract_x
_atom_site_fract_y
_atom_site_fract_z
Eu1 Eu 0.0000 0.0000 0.0000
Y1 Y 0.2500 0.2500 0.2500
Sc1 Sc 0.2500 0.2500 0.7500
In1 In 0.0000 0.0000 0.5000
```

Magnetic moment ... 8.05 μB per formula unit
ΔE_f ... -0.392 eV per formula unit
Final energy ... -104.801 eV/cell



# 9
The following is a PBE calculation of a geometry-optimized EuIn2Se4 structure, from Alexandria via LeMat-Bulk.

The structure in CIF format:
```
data_EuIn2Se4
_chemical_formula_sum 'Eu4 In8 Se16'
_cell_length_a 6.8562
_cell_length_b 10.8954
_cell_length_c 11.0363
_cell_angle_alpha 90.00
_cell_angle_beta 90.00
_cell_angle_gamma 90.00
_symmetry_space_group_name_H-M 'C c c m'
_symmetry_Int_Tables_number 66
_symmetry_space_group_name_Hall '-C 2 2c'
loop_
_atom_site_label
_atom_site_type_symbol
_atom_site_fract_x
_atom_site_fract_y
_atom_site_fract_z
Eu1 Eu 0.0000 0.0000 0.2500
In1 In 0.0034 0.2757 0.0000
Se1 Se 0.2146 0.0688 0.5000
Se2 Se 0.2500 0.2500 0.1826
```

Magnetic moment ... 7.00 μB per formula unit
E_form (uncorrected) ... -6.7 eV/f.u.
Final energy ... -145.705 eV/cell



# 10
The following is a PBE calculation of a geometry-optimized EuIn2Se structure, from Alexandria via LeMat-Bulk.

The structure in CIF format:
```
data_EuIn2Se
_chemical_formula_sum 'Eu3 In6 Se3'
_cell_length_a 3.8528
_cell_length_b 3.8528
_cell_length_c 31.1726
_cell_angle_alpha 90.00
_cell_angle_beta 90.00
_cell_angle_gamma 120.00
_symmetry_space_group_name_H-M 'R -3 m'
_symmetry_Int_Tables_number 166
_symmetry_space_group_name_Hall '-R 3 2"'
loop_
_atom_site_label
_atom_site_type_symbol
_atom_site_fract_x
_atom_site_fract_y
_atom_site_fract_z
Eu1 Eu 0.0000 0.0000 0.0000
In1 In 0.0000 0.0000 0.1062
Se1 Se 0.0000 0.0000 0.5000
```

Magnetic moment ... 7.91 μB per formula unit
E_form (uncorrected) ... -0.7 eV/f.u.
Final energy ... -59.935 eV/cell